Entry 1:
BeCoOs2: single point on PBEsol structure, meta-GGA SCAN.

Values from the calculation:
Calculated volume   12.25 Å³/atom
VASP energy   -164.6 eV/cell
Crystal system   orthorhombic
Energy relative to the elements   0.21 eV per atom

abc: 2.597 2.597 8.090
angles: 90.00 90.00 116.12
Positions (direct):
Be  0.000  0.000  0.000
Co  0.000  0.000  0.500
Os  0.500  0.500  0.238
Os  0.500  0.500  0.762



Entry 2:
BeCoOs2: single point on PBEsol structure, meta-GGA SCAN.

Values from the calculation:
Calculated volume   12.02 Å³/atom
VASP energy   -164.8 eV/cell
Crystal system   trigonal
Energy relative to the elements   0.14 eV per atom

abc: 8.105 8.105 8.105
angles: 18.75 18.75 18.75
Positions (direct):
Be  0.000  0.000  0.000
Co  0.500  0.500  0.500
Os  0.252  0.252  0.252
Os  0.748  0.748  0.748



Entry 3:
BeCoOs2: single point on PBEsol structure, meta-GGA SCAN.

Values from the calculation:
Calculated volume   11.82 Å³/atom
VASP energy   -164.8 eV/cell
Crystal system   orthorhombic
Energy relative to the elements   0.16 eV per atom

abc: 4.769 4.769 4.769
angles: 146.21 127.59 63.82
Positions (direct):
Be  0.000  0.000  0.000
Co  0.500  0.500  0.000
Os  0.217  0.717  0.500
Os  0.783  0.283  0.500